VASP calculation (GGA-PBE) on a relaxed TbPm2Y5 crystal.

Geometry as CIF:
```
data_TbPm2Y5
_chemical_formula_sum 'Tb2 Pm4 Y10'
_space_group_name_H-M_alt 'P b a m'
_space_group_IT_number 55
_cell_length_a 7.1818
_cell_length_b 14.3639
_cell_length_c 5.0693
_cell_angle_alpha 90.00
_cell_angle_beta 90.00
_cell_angle_gamma 90.00
loop_
_space_group_symop_operation_xyz
'x,y,z'
'-x,-y,-z'
'-x,-y,z'
'x,y,-z'
'x+1/2,-y+1/2,-z'
'-x+1/2,y+1/2,z'
'-x+1/2,y+1/2,-z'
'x+1/2,-y+1/2,z'
loop_
_atom_site_label
_atom_site_type_symbol
_atom_site_fract_x
_atom_site_fract_y
_atom_site_fract_z
Tb1 Tb 0.0000 0.0000 0.0000
Pm1 Pm 0.2495 0.1246 0.5000
Y1 Y 0.0001 0.2496 0.0000
Y2 Y 0.0000 0.5000 0.0000
Y3 Y 0.2493 0.8752 0.5000
```

Output
As for the calculated density: 5.67 Mg/m³. The formation enthalpy at 0 K comes out at 0.02 eV per atom.

=====

VASP calculation (GGA-PBE) on a relaxed Tb11Pm4Y9 crystal.

Geometry as CIF:
```
data_Tb11Pm4Y9
_chemical_formula_sum 'Tb22 Pm8 Y18'
_space_group_name_H-M_alt 'C m m m'
_space_group_IT_number 65
_space_group_name_Hall '-C 2 2'
_cell_length_a 16.8199
_cell_length_b 25.2395
_cell_length_c 3.6994
_cell_angle_alpha 90.00
_cell_angle_beta 90.00
_cell_angle_gamma 90.00
loop_
_atom_site_label
_atom_site_type_symbol
_atom_site_fract_x
_atom_site_fract_y
_atom_site_fract_z
Tb1 Tb 0.0000 0.0000 0.0000
Tb2 Tb 0.0000 0.1585 0.0000
Tb3 Tb 0.0000 0.3655 0.0000
Tb4 Tb 0.2091 0.5000 0.0000
Tb5 Tb 0.2275 0.1812 0.0000
Pm1 Pm 0.1541 0.3993 0.5000
Y1 Y 0.0000 0.5000 0.5000
Y2 Y 0.1018 0.2638 0.5000
Y3 Y 0.1400 0.0730 0.5000
```

Output
As for the calculated density: 6.62 Mg/m³. The formation enthalpy at 0 K comes out at 0.05 eV per atom.